# Pm13Ho3 GGA-PBE optimized geometry
data_Pm13Ho3
_chemical_formula_sum 'Pm13 Ho3'
_space_group_name_H-M_alt 'P 1'
_space_group_IT_number 1
_cell_length_a 10.2404
_cell_length_b 7.2547
_cell_length_c 7.2547
_cell_angle_alpha 89.98
_cell_angle_beta 90.00
_cell_angle_gamma 90.00
loop_
_space_group_symop_operation_xyz
'x,y,z'
loop_
_atom_site_label
_atom_site_type_symbol
_atom_site_fract_x
_atom_site_fract_y
_atom_site_fract_z
_atom_site_occupancy
Pm1 Pm 0.0000 0.0000 0.0000 1
Pm2 Pm 0.0000 0.0000 0.4972 1
Pm3 Pm 0.0000 0.4972 0.0000 1
Pm4 Pm 0.0000 0.4971 0.4971 1
Pm5 Pm 0.2510 0.2477 0.7493 1
Pm6 Pm 0.2510 0.7493 0.2477 1
Pm7 Pm 0.2511 0.7493 0.7493 1
Pm8 Pm 0.5000 0.0001 0.4968 1
Pm9 Pm 0.5000 0.4968 0.0001 1
Pm10 Pm 0.5000 0.4969 0.4969 1
Pm11 Pm 0.7490 0.2477 0.7493 1
Pm12 Pm 0.7490 0.7493 0.2477 1
Pm13 Pm 0.7489 0.7493 0.7493 1
Ho1 Ho 0.2509 0.2476 0.2476 1
Ho2 Ho 0.5000 0.0003 0.0003 1
Ho3 Ho 0.7491 0.2476 0.2476 1
# D(E_F) in states/eV/cell: 22.9
# V in Å³/atom: 33.685
# Magnetization in μB per cell: 0.00
# E in eV per atom: -4.70
# Mass density in kg/m3: 7332



# Pm5Ho3 GGA-PBE optimized geometry
data_Pm5Ho3
_chemical_formula_sum 'Pm5 Ho3'
_space_group_name_H-M_alt 'P 1'
_space_group_IT_number 1
_cell_length_a 3.6066
_cell_length_b 3.6066
_cell_length_c 20.3601
_cell_angle_alpha 90.00
_cell_angle_beta 90.00
_cell_angle_gamma 90.00
loop_
_space_group_symop_operation_xyz
'x,y,z'
loop_
_atom_site_label
_atom_site_type_symbol
_atom_site_fract_x
_atom_site_fract_y
_atom_site_fract_z
_atom_site_occupancy
Pm1 Pm 0.0000 0.0000 0.0000 1
Pm2 Pm 0.0000 0.0000 0.2480 1
Pm3 Pm 0.0000 0.0000 0.7520 1
Pm4 Pm 0.5000 0.5000 0.3758 1
Pm5 Pm 0.5000 0.5000 0.6242 1
Ho1 Ho 0.0000 0.0000 0.5000 1
Ho2 Ho 0.5000 0.5000 0.1235 1
Ho3 Ho 0.5000 0.5000 0.8765 1
# D(E_F) in states/eV/cell: 11.3
# V in Å³/atom: 33.104
# Magnetization in μB per cell: 0.00
# E in eV per atom: -4.67
# Mass density in kg/m3: 7648



# Pm2Ho7 GGA-PBE optimized geometry
data_Pm2Ho7
_chemical_formula_sum 'Pm2 Ho7'
_space_group_name_H-M_alt 'P 1'
_space_group_IT_number 1
_cell_length_a 9.6590
_cell_length_b 9.6590
_cell_length_c 3.5564
_cell_angle_alpha 90.00
_cell_angle_beta 90.00
_cell_angle_gamma 120.00
loop_
_space_group_symop_operation_xyz
'x,y,z'
loop_
_atom_site_label
_atom_site_type_symbol
_atom_site_fract_x
_atom_site_fract_y
_atom_site_fract_z
_atom_site_occupancy
Pm1 Pm 0.3333 0.6667 0.0000 1
Pm2 Pm 0.6667 0.3333 0.0000 1
Ho1 Ho 0.0000 0.0000 0.5000 1
Ho2 Ho 0.0000 0.3039 0.0000 1
Ho3 Ho 0.0000 0.6448 0.5000 1
Ho4 Ho 0.3039 0.0000 0.0000 1
Ho5 Ho 0.3552 0.3552 0.5000 1
Ho6 Ho 0.6448 0.0000 0.5000 1
Ho7 Ho 0.6961 0.6961 0.0000 1
# D(E_F) in states/eV/cell: 16.4
# V in Å³/atom: 31.928
# Magnetization in μB per cell: 1.07
# E in eV per atom: -4.57
# Mass density in kg/m3: 8348



# Pm13Ho2 GGA-PBE optimized geometry
data_Pm13Ho2
_chemical_formula_sum 'Pm13 Ho2'
_space_group_name_H-M_alt 'P 1'
_space_group_IT_number 1
_cell_length_a 12.4288
_cell_length_b 12.4288
_cell_length_c 12.4288
_cell_angle_alpha 33.52
_cell_angle_beta 33.52
_cell_angle_gamma 33.52
loop_
_space_group_symop_operation_xyz
'x,y,z'
loop_
_atom_site_label
_atom_site_type_symbol
_atom_site_fract_x
_atom_site_fract_y
_atom_site_fract_z
_atom_site_occupancy
Pm1 Pm 0.0000 0.0000 0.0000 1
Pm2 Pm 0.0424 0.5464 0.5464 1
Pm3 Pm 0.2073 0.7106 0.7106 1
Pm4 Pm 0.2894 0.2894 0.7927 1
Pm5 Pm 0.2894 0.7927 0.2894 1
Pm6 Pm 0.4536 0.4536 0.9576 1
Pm7 Pm 0.4536 0.9576 0.4536 1
Pm8 Pm 0.5464 0.0424 0.5464 1
Pm9 Pm 0.5464 0.5464 0.0424 1
Pm10 Pm 0.7106 0.2073 0.7106 1
Pm11 Pm 0.7106 0.7106 0.2073 1
Pm12 Pm 0.7927 0.2894 0.2894 1
Pm13 Pm 0.9576 0.4536 0.4536 1
Ho1 Ho 0.2062 0.2062 0.2062 1
Ho2 Ho 0.7938 0.7938 0.7938 1
# D(E_F) in states/eV/cell: 21.8
# V in Å³/atom: 34.768
# Magnetization in μB per cell: 0.00
# E in eV per atom: -4.58
# Mass density in kg/m3: 7052



# Pm3Ho8 GGA-PBE optimized geometry
data_Pm3Ho8
_chemical_formula_sum 'Pm3 Ho8'
_space_group_name_H-M_alt 'P 1'
_space_group_IT_number 1
_cell_length_a 7.1707
_cell_length_b 7.1707
_cell_length_c 7.1707
_cell_angle_alpha 90.63
_cell_angle_beta 90.63
_cell_angle_gamma 90.63
loop_
_space_group_symop_operation_xyz
'x,y,z'
loop_
_atom_site_label
_atom_site_type_symbol
_atom_site_fract_x
_atom_site_fract_y
_atom_site_fract_z
_atom_site_occupancy
Pm1 Pm 0.0000 0.5000 0.5000 1
Pm2 Pm 0.5000 0.0000 0.5000 1
Pm3 Pm 0.5000 0.5000 0.0000 1
Ho1 Ho 0.0847 0.8855 0.6949 1
Ho2 Ho 0.1145 0.3051 0.9153 1
Ho3 Ho 0.3051 0.9153 0.1145 1
Ho4 Ho 0.3511 0.3511 0.3511 1
Ho5 Ho 0.6489 0.6489 0.6489 1
Ho6 Ho 0.6949 0.0847 0.8855 1
Ho7 Ho 0.8855 0.6949 0.0847 1
Ho8 Ho 0.9153 0.1145 0.3051 1
# D(E_F) in states/eV/cell: 20.6
# V in Å³/atom: 33.513
# Magnetization in μB per cell: 0.00
# E in eV per atom: -4.06
# Mass density in kg/m3: 7903



# Pm13Ho2 GGA-PBE optimized geometry
data_Pm13Ho2
_chemical_formula_sum 'Pm13 Ho2'
_space_group_name_H-M_alt 'P 1'
_space_group_IT_number 1
_cell_length_a 6.7450
_cell_length_b 9.1100
_cell_length_c 9.1123
_cell_angle_alpha 66.30
_cell_angle_beta 82.23
_cell_angle_gamma 82.17
loop_
_space_group_symop_operation_xyz
'x,y,z'
loop_
_atom_site_label
_atom_site_type_symbol
_atom_site_fract_x
_atom_site_fract_y
_atom_site_fract_z
_atom_site_occupancy
Pm1 Pm 0.0000 0.0000 0.0000 1
Pm2 Pm 0.1021 0.4350 0.7662 1
Pm3 Pm 0.1949 0.1949 0.2071 1
Pm4 Pm 0.2985 0.6287 0.9727 1
Pm5 Pm 0.3046 0.9615 0.6380 1
Pm6 Pm 0.3965 0.3979 0.4048 1
Pm7 Pm 0.4988 0.1683 0.8346 1
Pm8 Pm 0.5012 0.8317 0.1654 1
Pm9 Pm 0.6035 0.6021 0.5952 1
Pm10 Pm 0.6954 0.0385 0.3620 1
Pm11 Pm 0.7015 0.3713 0.0273 1
Pm12 Pm 0.8051 0.8051 0.7929 1
Pm13 Pm 0.8979 0.5650 0.2338 1
Ho1 Ho 0.0983 0.7682 0.4311 1
Ho2 Ho 0.9017 0.2318 0.5689 1
# D(E_F) in states/eV/cell: 22.3
# V in Å³/atom: 33.728
# Magnetization in μB per cell: 0.00
# E in eV per atom: -4.67
# Mass density in kg/m3: 7270